Model P:
The following is a DFT calculation (GGA-PBE) of CrPtRh after structural relaxation.

- size of the total moment (μB per formula unit) = 0.25
- SG = P-62c, No. 190

```
CrPtRh
1.0
-5.028 -0.703 5.232
6.902 -1.961 1.291
1.106 5.037 1.740
Pt Rh Cr
6 6 6
direct
0.701 0.701 0.000 Pt
0.000 0.299 0.500 Pt
0.701 0.701 0.500 Pt
0.299 0.000 0.500 Pt
0.299 0.000 0.000 Pt
0.000 0.299 0.000 Pt
0.987 0.628 0.750 Rh
0.628 0.987 0.250 Rh
0.013 0.641 0.250 Rh
0.372 0.359 0.750 Rh
0.359 0.372 0.250 Rh
0.641 0.013 0.750 Rh
0.333 0.667 0.974 Cr
0.333 0.667 0.526 Cr
0.000 0.000 0.250 Cr
0.000 0.000 0.750 Cr
0.667 0.333 0.026 Cr
0.667 0.333 0.474 Cr
```



Model Q:
The following is a DFT calculation (GGA-PBE) of CrPtRh after structural relaxation.

- size of the total moment (μB per formula unit) = 0.00
- SG = I4mm, No. 107

```
CrPtRh
1.0
-3.967 -1.261 -4.362
-2.223 -3.302 -4.529
-1.764 -1.608 1.240
Cr Rh Pt
1 1 1
direct
0.996 0.996 0.004 Cr
0.346 0.346 0.654 Rh
0.658 0.658 0.342 Pt
```



In terms of stability, model Q leads; the second structure lies 5.1 kJ/mol of atoms higher.



Model P:
The following is a DFT calculation (GGA-PBE) of CrPtRh4 after structural relaxation.

- size of the total moment (μB per formula unit) = 0.91
- SG = F-43m, No. 216

```
CrPtRh4
1.0
1.369 1.401 4.691
-1.207 4.628 1.725
-3.524 0.522 3.627
Pt Rh Cr
1 4 1
direct
0.000 0.000 0.000 Pt
0.375 0.375 0.375 Rh
0.375 0.875 0.375 Rh
0.875 0.375 0.375 Rh
0.375 0.375 0.875 Rh
0.750 0.750 0.750 Cr
```



Model Q:
The following is a DFT calculation (GGA-PBE) of CrPtRh4 after structural relaxation.

- size of the total moment (μB per formula unit) = 0.20
- SG = Pmmm, No. 47

```
CrPtRh4
1.0
2.701 -0.107 0.000
0.150 3.802 0.000
0.000 0.000 8.175
Cr Rh Pt
1 4 1
direct
0.500 0.500 0.500 Cr
0.500 0.500 0.823 Rh
0.500 0.500 0.177 Rh
0.000 0.000 0.344 Rh
0.000 0.000 0.656 Rh
0.000 0.000 0.000 Pt
```



In terms of stability, model Q leads; the second structure lies 37.3 kJ/mol of atoms higher.



Model P:
The following is a DFT calculation (GGA-PBE) of CrPt6Rh2 after structural relaxation.

- size of the total moment (μB per formula unit) = 1.74
- SG = C2/c, No. 15

```
CrPt6Rh2
1.0
0.411 5.131 -0.987
-5.826 0.467 6.282
0.706 0.379 8.544
Rh Pt Cr
4 12 2
direct
0.911 0.654 0.812 Rh
0.411 0.812 0.654 Rh
0.589 0.188 0.346 Rh
0.089 0.346 0.188 Rh
0.632 0.051 0.769 Pt
0.086 0.045 0.626 Pt
0.868 0.231 0.949 Pt
0.132 0.769 0.051 Pt
0.365 0.418 0.425 Pt
0.586 0.626 0.045 Pt
0.135 0.575 0.582 Pt
0.414 0.374 0.955 Pt
0.635 0.582 0.575 Pt
0.368 0.949 0.231 Pt
0.914 0.955 0.374 Pt
0.865 0.425 0.418 Pt
0.250 0.173 0.827 Cr
0.750 0.827 0.173 Cr
```



Model Q:
The following is a DFT calculation (GGA-PBE) of CrPt6Rh2 after structural relaxation.

- size of the total moment (μB per formula unit) = 2.58
- SG = P-31m, No. 162

```
CrPt6Rh2
1.0
2.740 0.000 0.000
0.000 7.653 0.000
0.000 -3.827 6.628
Pt Rh Cr
6 2 1
direct
0.783 0.000 0.672 Pt
0.783 0.328 0.328 Pt
0.217 0.672 0.672 Pt
0.783 0.672 0.000 Pt
0.217 0.328 0.000 Pt
0.217 0.000 0.328 Pt
0.500 0.333 0.667 Rh
0.500 0.667 0.333 Rh
0.000 0.000 0.000 Cr
```



In terms of stability, model P leads; the second structure lies 2.1 kJ/mol of atoms higher.



Model P:
The following is a DFT calculation (GGA-PBE) of Cr2PtRh2 after structural relaxation.

- size of the total moment (μB per formula unit) = 0.00
- SG = P4/mbm, No. 127

```
Cr2PtRh2
1.0
7.133 0.000 0.000
0.000 7.133 0.000
0.000 0.000 2.716
Rh Pt Cr
4 2 4
direct
0.675 0.825 0.500 Rh
0.825 0.325 0.500 Rh
0.175 0.675 0.500 Rh
0.325 0.175 0.500 Rh
0.500 0.500 0.000 Pt
0.000 0.000 0.000 Pt
0.615 0.115 0.000 Cr
0.385 0.885 0.000 Cr
0.885 0.615 0.000 Cr
0.115 0.385 0.000 Cr
```



Model Q:
The following is a DFT calculation (GGA-PBE) of Cr2PtRh2 after structural relaxation.

- size of the total moment (μB per formula unit) = 0.00
- SG = Imma, No. 74

```
Cr2PtRh2
1.0
-3.936 0.947 1.402
-2.122 -2.747 -4.101
3.020 -4.115 4.713
Rh Cr Pt
4 4 2
direct
0.372 0.622 0.243 Rh
0.001 0.751 0.502 Rh
0.628 0.378 0.757 Rh
0.999 0.249 0.498 Rh
0.810 0.328 0.121 Cr
0.190 0.208 0.879 Cr
0.190 0.672 0.879 Cr
0.810 0.792 0.121 Cr
0.631 0.881 0.761 Pt
0.369 0.119 0.239 Pt
```



In terms of stability, model Q leads; the second structure lies 5.8 kJ/mol of atoms higher.